Crystalline Li2LaNiH8 at its relaxed geometry, computed with PBE-GGA.

a b c (Å): 4.3251 4.3251 6.3084
angles (deg): 90.00 90.00 120.00
Closest atoms and distances in Å follow each position.
Sites, in units of the cell vectors:
H1 0.3297 0.1648 0.8519  1 Ni 1.55
H2 0.6703 0.8352 0.1481  1 Ni 1.55
H3 0.3333 0.6667 0.5706  1 Li 1.99
H4 0.8352 0.6703 0.8519  1 Ni 1.55
H5 0.8352 0.1648 0.8519  1 Ni 1.55
H6 0.1648 0.8352 0.1481  1 Ni 1.55
H7 0.6667 0.3333 0.4294  1 Li 1.99
H8 0.1648 0.3297 0.1481  1 Ni 1.55
La1 0.0000 0.0000 0.5000  12 H 2.54
Ni1 0.0000 0.0000 0.0000  6 H 1.55
Li1 0.3333 0.6667 0.8860  10 H 1.99-2.17
Li2 0.6667 0.3333 0.1140  10 H 1.99-2.17

Calculated volume ... 8.52 A^3/atom
Space group ... P-3m1
Spin magnetization ... 0.00 μB per cell
Electronic total energy ... -3.81 eV/atom
Crystal system ... trigonal
DOS(E_F) ... 1.61 states/eV per cell